# Be17CrW, relaxed, DFT PBE
data_Be17CrW
_cell_length_a 7.2515
_cell_length_b 7.2515
_cell_length_c 10.5822
_cell_angle_alpha 90.00
_cell_angle_beta 90.00
_cell_angle_gamma 120.00
_symmetry_space_group_name_H-M 'R 3 m'
_symmetry_Int_Tables_number 160
_symmetry_space_group_name_Hall 'R 3 -2"'
loop_
_atom_site_label
_atom_site_type_symbol
_atom_site_fract_x
_atom_site_fract_y
_atom_site_fract_z
Be1 Be 0.0000 0.0000 0.0529
Be2 Be 0.0000 0.0000 0.2551
Be3 Be 0.0049 0.5024 0.3081
Be4 Be 0.0335 0.3644 0.8216
Be5 Be 0.1686 0.3371 0.9902
Be6 Be 0.1714 0.3429 0.3333
Cr1 Cr 0.0000 0.0000 0.8152
W1 W 0.0000 0.0000 0.4941
# DOS at the Fermi energy = 0.277 states/eV/atom
# E_form = -0.10 eV/atom
# Total energy = -263.36 eV for the cell shown